# Cs2CdO4 (PBE, optimized geometry)
# **ρ**: 4.77 g cm⁻³
# **Energy**: -3.310 eV per atom
data_Cs2CdO4
_chemical_formula_sum 'Cs4 Cd2 O8'
_cell_length_a 7.580
_cell_length_b 7.580
_cell_length_c 7.580
_cell_angle_alpha 120.02
_cell_angle_beta 89.97
_cell_angle_gamma 120.02
_symmetry_space_group_name_H-M 'P 1'
_symmetry_Int_Tables_number 1
_symmetry_space_group_name_Hall 'P 1'
loop_
_atom_site_label
_atom_site_fract_x
_atom_site_fract_y
_atom_site_fract_z
O1 0.113 0.226 0.887
O2 0.637 0.274 0.911
O3 0.113 0.226 0.339
O4 0.637 0.726 0.363
O5 0.637 0.274 0.363
O6 0.089 0.726 0.363
O7 0.113 0.774 0.887
O8 0.661 0.774 0.887
Cs1 0.875 0.250 0.625
Cs2 0.375 0.250 0.625
Cs3 0.375 0.750 0.125
Cs4 0.375 0.750 0.625
Cd1 0.750 0.500 0.250
Cd2 0.000 0.000 0.000